1.
Computed, not measured: a relaxed Ba2HfCu2Se6 crystal at the GGA-PBE level of DFT.

Cell and atoms, written as POSCAR:
```
Ba2HfCu2Se6
1.0
6.721 -3.284 0.000
6.721 3.284 0.000
-4.271 0.000 6.944
Ba Hf Cu Se
2 1 2 6
Cartesian
2.082 0.000 1.537
7.089 0.000 5.406
-2.136 0.000 3.472
2.419 0.000 5.343
6.752 0.000 1.601
5.127 1.653 1.396
0.353 0.000 4.322
4.044 1.653 5.547
5.127 -1.653 1.396
8.818 0.000 2.622
4.044 -1.653 5.547
```

Calculated values
ΔE_f (raw)	-11.80	eV per formula unit
space-group type	C2/m (12)
uncorrected energy	-0.366	Ry/atom
crystal system	monoclinic

---

2.
Computed, not measured: a relaxed Ba3HfCu2Se6 crystal at the GGA-PBE level of DFT.

Cell and atoms, written as POSCAR:
```
Ba3HfCu2Se6
1.0
7.602 0.000 0.000
-3.801 6.584 0.000
0.000 0.000 8.233
Ba Hf Cu Se
3 1 2 6
Cartesian
0.000 0.000 0.000
0.000 4.389 5.189
3.801 2.195 3.044
0.000 0.000 4.116
0.000 4.389 2.089
3.801 2.195 6.144
0.000 2.104 2.471
-1.979 5.532 2.471
1.822 1.052 5.762
1.979 5.532 2.471
5.781 1.052 5.762
3.801 4.480 5.762
```

Calculated values
ΔE_f (raw)	-14.42	eV per formula unit
space-group type	P-3m1 (164)
uncorrected energy	-0.363	Ry/atom
crystal system	trigonal

---

3.
Computed, not measured: a relaxed BaHfCu2Se4 crystal at the GGA-PBE level of DFT.

Cell and atoms, written as POSCAR:
```
BaHfCu2Se4
1.0
-3.207 3.975 4.347
3.207 -3.975 4.347
3.207 3.975 -4.347
Ba Hf Cu Se
1 1 2 4
Cartesian
0.000 0.000 0.000
0.000 0.000 4.347
3.207 0.000 3.104
0.000 3.975 1.242
1.790 2.517 -1.526
1.417 -1.458 5.873
1.417 1.458 2.820
1.790 5.433 1.526
```

Calculated values
ΔE_f (raw)	-8.01	eV per formula unit
space-group type	I222 (23)
uncorrected energy	-0.386	Ry/atom
crystal system	orthorhombic

---

4.
Computed, not measured: a relaxed BaHfCuSe4 crystal at the GGA-PBE level of DFT.

Cell and atoms, written as POSCAR:
```
BaHfCuSe4
1.0
6.812 0.000 0.000
0.000 5.959 0.000
-2.913 0.000 8.466
Ba Hf Cu Se
2 2 2 8
Cartesian
1.456 1.490 0.459
2.443 4.469 8.007
0.227 1.490 4.731
3.673 4.469 3.735
0.807 4.469 2.700
3.092 1.490 5.766
-1.867 3.051 5.887
-1.867 5.888 5.887
2.631 4.469 1.226
1.329 4.469 5.025
2.571 1.490 3.442
1.268 1.490 7.241
5.766 0.071 2.579
5.766 2.908 2.579
```

Calculated values
ΔE_f (raw)	-7.71	eV per formula unit
space-group type	P2_1/m (11)
uncorrected energy	-0.395	Ry/atom
crystal system	monoclinic

---

5.
Computed, not measured: a relaxed BaHfCu2Te crystal at the GGA-PBE level of DFT.

Cell and atoms, written as POSCAR:
```
BaHfCu2Te
1.0
5.014 0.000 0.000
0.000 5.014 0.000
0.000 0.000 6.697
Ba Hf Cu Te
1 1 2 1
Cartesian
0.000 0.000 0.000
0.000 0.000 3.348
0.000 2.507 3.348
2.507 0.000 3.348
2.507 2.507 0.000
```

Calculated values
ΔE_f (raw)	3.50	eV per formula unit
space-group type	P4/mmm (123)
uncorrected energy	-0.290	Ry/atom
crystal system	tetragonal

---

6.
Computed, not measured: a relaxed Ba2HfCuTe5 crystal at the GGA-PBE level of DFT.

Cell and atoms, written as POSCAR:
```
Ba2HfCuTe5
1.0
2.179 -10.238 0.000
2.179 10.238 0.000
0.000 0.000 13.707
Ba Hf Cu Te
4 2 2 10
Cartesian
2.179 7.773 6.854
2.179 7.758 11.976
2.179 -7.758 5.123
2.179 -7.773 0.000
2.179 6.290 2.659
2.179 -6.290 9.512
2.179 1.620 8.380
2.179 -1.620 1.527
2.179 9.138 2.893
2.179 4.170 11.476
2.179 4.113 7.517
2.179 3.347 2.576
2.179 0.099 6.263
2.179 -0.099 13.116
2.179 -3.347 9.430
2.179 -4.113 0.663
2.179 -4.170 4.622
2.179 -9.138 9.746
```

Calculated values
ΔE_f (raw)	-9.29	eV per formula unit
space-group type	Cmc2_1 (36)
uncorrected energy	-0.350	Ry/atom
crystal system	orthorhombic

---

7.
Computed, not measured: a relaxed Ba2HfTlCu crystal at the GGA-PBE level of DFT.

Cell and atoms, written as POSCAR:
```
Ba2HfTlCu
1.0
6.028 0.000 0.000
0.000 6.028 0.000
0.000 0.000 5.014
Ba Hf Tl Cu
2 1 1 1
Cartesian
0.000 3.014 0.000
3.014 0.000 0.000
0.000 0.000 2.507
3.014 3.014 2.507
3.014 3.014 0.000
```

Calculated values
energy of formation from the pure elements	620	meV/atom
space-group type	P4/mmm (123)
uncorrected energy	-0.252	Ry/atom
crystal system	tetragonal

---

8.
Computed, not measured: a relaxed BaHf2TlCu crystal at the GGA-PBE level of DFT.

Cell and atoms, written as POSCAR:
```
BaHf2TlCu
1.0
5.469 0.000 0.000
0.000 5.469 0.000
0.000 0.000 5.114
Ba Hf Tl Cu
1 2 1 1
Cartesian
0.000 0.000 0.000
0.000 2.734 0.000
2.734 0.000 0.000
2.734 2.734 2.557
0.000 0.000 2.557
```

Calculated values
energy of formation from the pure elements	1875	meV/atom
space-group type	P4/mmm (123)
uncorrected energy	-0.278	Ry/atom
crystal system	tetragonal

---

9.
Computed, not measured: a relaxed BaHfCuW2 crystal at the GGA-PBE level of DFT.

Cell and atoms, written as POSCAR:
```
BaHfCuW2
1.0
5.089 0.000 0.000
0.000 5.089 0.000
0.000 0.000 4.769
Ba Hf Cu W
1 1 1 2
Cartesian
0.000 0.000 0.000
2.545 2.545 2.385
0.000 0.000 2.385
0.000 2.545 0.000
2.545 0.000 0.000
```

Calculated values
energy of formation from the pure elements	2953	meV/atom
space-group type	P4/mmm (123)
uncorrected energy	-0.399	Ry/atom
crystal system	tetragonal

---

10.
Computed, not measured: a relaxed Ba6CuHg5 crystal at the GGA-PBE level of DFT.

Cell and atoms, written as POSCAR:
```
Ba6CuHg5
1.0
5.944 0.000 0.000
0.000 8.302 0.000
-2.946 0.000 8.911
Ba Cu Hg
6 1 5
Cartesian
0.000 2.021 0.000
0.000 6.282 0.000
0.013 2.054 6.004
0.013 6.248 6.004
2.986 2.054 2.907
2.986 6.248 2.907
2.972 0.000 0.000
0.015 4.151 2.969
0.016 0.000 3.053
2.972 4.151 0.000
2.982 0.000 5.858
2.984 4.151 5.942
```

Calculated values
energy of formation from the pure elements	-414	meV/atom
space-group type	P2/m (10)
uncorrected energy	-0.135	Ry/atom
crystal system	monoclinic

---

11.
Computed, not measured: a relaxed BaCuHg2 crystal at the GGA-PBE level of DFT.

Cell and atoms, written as POSCAR:
```
BaCuHg2
1.0
3.960 0.000 0.000
0.000 3.960 0.000
0.000 0.000 7.142
Ba Cu Hg
1 1 2
Cartesian
0.000 0.000 0.000
1.980 1.980 2.116
0.000 0.000 3.296
1.980 1.980 4.914
```

Calculated values
energy of formation from the pure elements	-86	meV/atom
space-group type	P4mm (99)
uncorrected energy	-0.128	Ry/atom
crystal system	tetragonal

---

12.
Computed, not measured: a relaxed BaCuHg4 crystal at the GGA-PBE level of DFT.

Cell and atoms, written as POSCAR:
```
BaCuHg4
1.0
0.000 4.389 4.389
4.389 0.000 4.389
4.389 4.389 0.000
Ba Cu Hg
1 1 4
Cartesian
0.000 0.000 0.000
6.583 6.583 6.583
3.301 3.301 3.301
5.476 5.476 3.301
5.476 3.301 5.476
3.301 5.476 5.476
```

Calculated values
energy of formation from the pure elements	-27	meV/atom
space-group type	F-43m (216)
uncorrected energy	-0.091	Ry/atom
crystal system	cubic

---

What did the fourth record say?
Computed, not measured: a relaxed BaHfCuSe4 crystal at the GGA-PBE level of DFT.

Cell and atoms, written as POSCAR:
```
BaHfCuSe4
1.0
6.812 0.000 0.000
0.000 5.959 0.000
-2.913 0.000 8.466
Ba Hf Cu Se
2 2 2 8
Cartesian
1.456 1.490 0.459
2.443 4.469 8.007
0.227 1.490 4.731
3.673 4.469 3.735
0.807 4.469 2.700
3.092 1.490 5.766
-1.867 3.051 5.887
-1.867 5.888 5.887
2.631 4.469 1.226
1.329 4.469 5.025
2.571 1.490 3.442
1.268 1.490 7.241
5.766 0.071 2.579
5.766 2.908 2.579
```

Calculated values
ΔE_f (raw)	-7.71	eV per formula unit
space-group type	P2_1/m (11)
uncorrected energy	-0.395	Ry/atom
crystal system	monoclinic